# PBE Sm2ZrGa4Pd3, optimized geometry
data_Sm2ZrGa4Pd3
_chemical_formula_sum 'Sm2 Zr1 Ga4 Pd3'
_symmetry_space_group_name_H-M 'P 1'
_symmetry_Int_Tables_number 1
_cell_length_a 4.201
_cell_length_b 4.201
_cell_length_c 11.384
_cell_angle_alpha 90.00
_cell_angle_beta 90.00
_cell_angle_gamma 90.00
loop_
_symmetry_equiv_pos_as_xyz
'x,y,z'
loop_
_atom_site_label
_atom_site_fract_x
_atom_site_fract_y
_atom_site_fract_z
_atom_site_occupancy
Zr1 0.500 0.500 0.500 1
Ga1 0.500 0.500 0.000 1
Pd1 0.500 0.000 0.873 1
Ga2 0.500 0.000 0.655 1
Sm1 0.000 0.500 0.758 1
Pd2 0.000 0.000 0.500 1
Ga3 0.000 0.500 0.345 1
Pd3 0.000 0.500 0.127 1
Sm2 0.500 0.000 0.242 1
Ga4 0.000 0.000 0.000 1
# SG ... P-4m2
# Volume ... 200.9 Å³/cell
# ΔH_f (0 K) ... -709 meV/atom
# Magnetic moment ... 0.000 μB per cell

# PBE MnCo2RuPt, optimized geometry
data_MnCo2RuPt
_chemical_formula_sum 'Mn1 Co2 Ru1 Pt1'
_symmetry_space_group_name_H-M 'P 1'
_symmetry_Int_Tables_number 1
_cell_length_a 4.524
_cell_length_b 4.724
_cell_length_c 4.524
_cell_angle_alpha 90.00
_cell_angle_beta 90.00
_cell_angle_gamma 90.00
loop_
_symmetry_equiv_pos_as_xyz
'x,y,z'
loop_
_atom_site_label
_atom_site_fract_x
_atom_site_fract_y
_atom_site_fract_z
_atom_site_occupancy
Mn1 0.500 0.500 0.500 1
Co1 0.500 0.000 0.000 1
Co2 0.000 0.000 0.500 1
Pt1 0.000 0.000 0.000 1
Ru1 0.000 0.500 0.000 1
# SG ... P4/mmm
# Volume ... 96.7 Å³/cell
# ΔH_f (0 K) ... 2013 meV/atom
# Magnetic moment ... 4.482 μB per cell

# PBE LaTm10Th4, optimized geometry
data_LaTm10Th4
_chemical_formula_sum 'La1 Tm10 Th4'
_symmetry_space_group_name_H-M 'P 1'
_symmetry_Int_Tables_number 1
_cell_length_a 10.992
_cell_length_b 8.682
_cell_length_c 8.682
_cell_angle_alpha 66.38
_cell_angle_beta 50.73
_cell_angle_gamma 50.73
loop_
_symmetry_equiv_pos_as_xyz
'x,y,z'
loop_
_atom_site_label
_atom_site_fract_x
_atom_site_fract_y
_atom_site_fract_z
_atom_site_occupancy
Tm1 0.708 0.345 0.905 1
Tm2 0.947 0.095 0.345 1
Tm3 0.750 0.500 0.500 1
Tm4 0.613 0.095 0.345 1
Th1 0.798 0.747 0.658 1
Tm5 0.292 0.655 0.095 1
Th2 0.202 0.253 0.342 1
Tm6 0.250 0.500 0.500 1
Tm7 0.042 0.345 0.905 1
Th3 0.455 0.342 0.747 1
Tm8 0.958 0.655 0.095 1
La1 0.000 0.000 0.000 1
Tm9 0.053 0.905 0.655 1
Th4 0.545 0.658 0.253 1
Tm10 0.387 0.905 0.655 1
# SG ... I4/m
# Volume ... 496.5 Å³/cell
# ΔH_f (0 K) ... 518 meV/atom
# Magnetic moment ... 0.000 μB per cell

# PBE NdTlCuPt, optimized geometry
data_NdTlCuPt
_chemical_formula_sum 'Nd1 Tl1 Cu1 Pt1'
_symmetry_space_group_name_H-M 'P 1'
_symmetry_Int_Tables_number 1
_cell_length_a 4.920
_cell_length_b 4.920
_cell_length_c 4.920
_cell_angle_alpha 60.00
_cell_angle_beta 60.00
_cell_angle_gamma 60.00
loop_
_symmetry_equiv_pos_as_xyz
'x,y,z'
loop_
_atom_site_label
_atom_site_fract_x
_atom_site_fract_y
_atom_site_fract_z
_atom_site_occupancy
Tl1 0.000 0.000 0.000 1
Pt1 0.250 0.250 0.250 1
Cu1 0.750 0.750 0.750 1
Nd1 0.500 0.500 0.500 1
# SG ... F-43m
# Volume ... 84.2 Å³/cell
# ΔH_f (0 K) ... -398 meV/atom
# Magnetic moment ... 0.000 μB per cell

Number 1: calculated total energy -5.28 eV per atom. Number 2: calculated total energy -5.73 eV per atom. Number 3: calculated total energy -4.77 eV per atom. Number 4: calculated total energy -4.72 eV per atom.